A plane-wave DFT calculation with PBE+U was carried out for an optimized crystal structure of HoFe2GeO6.

Properties
Its calculated density is 6.47 g cm⁻³. Its total energy is -7.014 eV per atom. Its crystal system is trigonal.

abc: 5.3273 5.3273 13.9497
angles: 90.00 90.00 120.00
Space group R3 (No. 146, hexagonal axes)
One atom of each set of equivalent atoms:
Ho: 0.0000 0.0000 0.0000 x3
Fe: 0.0000 0.0000 0.2836 x3
Fe: 0.0000 0.0000 0.7864 x3
Ge: 0.0000 0.0000 0.4898 x3
O: 0.0051 0.3217 0.5562 x9
O: 0.0127 0.7306 0.3966 x9